1.
# CsTiAl2Cl8, optimized geometry, DFT PBE-GGA
# * electronic total energy: -144.50 eV/cell
# * total magnetic moment: 3.0 μB/f.u.
# * energy relative to the elements, uncorrected: -17.2 eV/f.u.
# * D(E_F): 11.53 states/eV per cell
data_CsTiAl2Cl8
_chemical_formula_sum 'Cs3 Ti3 Al6 Cl24'
_cell_length_a 6.4642
_cell_length_b 6.4642
_cell_length_c 29.4698
_cell_angle_alpha 90.00
_cell_angle_beta 90.00
_cell_angle_gamma 120.00
_symmetry_space_group_name_H-M 'R -3'
_symmetry_Int_Tables_number 148
_symmetry_space_group_name_Hall '-R 3'
loop_
_atom_site_label
_atom_site_type_symbol
_atom_site_fract_x
_atom_site_fract_y
_atom_site_fract_z
_atom_site_occupancy
Cs1 Cs 0.0000 0.0000 0.0000 1
Ti1 Ti 0.0000 0.0000 0.5000 1
Al1 Al 0.0000 0.0000 0.2407 1
Cl1 Cl 0.0000 0.0000 0.3145 1
Cl2 Cl 0.0037 0.3490 0.8862 1

2.
# Cs2LiU2S6, optimized geometry, DFT PBE-GGA
# * electronic total energy: -132.45 eV/cell
# * total magnetic moment: 3.0 μB/f.u.
# * energy relative to the elements, uncorrected: -15.3 eV/f.u.
# * D(E_F): 20.32 states/eV per cell
data_Cs2LiU2S6
_chemical_formula_sum 'Cs4 Li2 U4 S12'
_cell_length_a 6.9188
_cell_length_b 12.1412
_cell_length_c 8.4434
_cell_angle_alpha 90.00
_cell_angle_beta 104.45
_cell_angle_gamma 90.00
_symmetry_space_group_name_H-M 'C 1 2/m 1'
_symmetry_Int_Tables_number 12
_symmetry_space_group_name_Hall '-C 2y'
loop_
_atom_site_label
_atom_site_type_symbol
_atom_site_fract_x
_atom_site_fract_y
_atom_site_fract_z
_atom_site_occupancy
Cs1 Cs 0.0000 0.1589 0.0000 1
Li1 Li 0.0000 0.0000 0.5000 1
U1 U 0.0000 0.3347 0.5000 1
S1 S 0.2047 0.5000 0.6722 1
S2 S 0.2291 0.1785 0.6747 1

3.
# CeTlIr, optimized geometry, DFT PBE-GGA
# * electronic total energy: -73.31 eV/cell
# * energy of formation from the pure elements: -0.389 eV/atom
# * total magnetic moment: 0.2 μB/f.u.
# * D(E_F): 13.83 states/eV per cell
data_CeTlIr
_chemical_formula_sum 'Ce4 Tl4 Ir4'
_cell_length_a 3.5666
_cell_length_b 18.8093
_cell_length_c 4.4552
_cell_angle_alpha 90.00
_cell_angle_beta 90.00
_cell_angle_gamma 90.00
_symmetry_space_group_name_H-M 'C m c m'
_symmetry_Int_Tables_number 63
_symmetry_space_group_name_Hall '-C 2c 2'
loop_
_atom_site_label
_atom_site_type_symbol
_atom_site_fract_x
_atom_site_fract_y
_atom_site_fract_z
_atom_site_occupancy
Ce1 Ce 0.0000 0.0756 0.2500 1
Tl1 Tl 0.0000 0.2075 0.7500 1
Ir1 Ir 0.0000 0.4448 0.2500 1

4.
# Ge2BiN2, optimized geometry, DFT PBE-GGA
# * electronic total energy: -51.98 eV/cell
# * total magnetic moment: 0.0 μB/f.u.
# * polymorph energy (0 for the lowest one): 126 meV/atom
# * energy relative to the elements, uncorrected: 3.8 eV/f.u.
# * D(E_F): 3.89 states/eV per cell
data_Ge2BiN2
_chemical_formula_sum 'Ge4 Bi2 N4'
_cell_length_a 4.1867
_cell_length_b 4.1867
_cell_length_c 10.7875
_cell_angle_alpha 90.00
_cell_angle_beta 90.00
_cell_angle_gamma 90.00
_symmetry_space_group_name_H-M 'I 4/m m m'
_symmetry_Int_Tables_number 139
_symmetry_space_group_name_Hall '-I 4 2'
loop_
_atom_site_label
_atom_site_type_symbol
_atom_site_fract_x
_atom_site_fract_y
_atom_site_fract_z
_atom_site_occupancy
Ge1 Ge 0.0000 0.5000 0.2500 1
Bi1 Bi 0.0000 0.0000 0.0000 1
N1 N 0.0000 0.0000 0.2417 1

5.
# TlCd5In2, optimized geometry, DFT PBE-GGA
# * electronic total energy: -24.15 eV/cell
# * energy of formation from the pure elements: 0.043 eV/atom
# * total magnetic moment: 0.0 μB/f.u.
# * D(E_F): 6.95 states/eV per cell
data_TlCd5In2
_chemical_formula_sum 'Tl2 Cd10 In4'
_cell_length_a 13.0569
_cell_length_b 9.6248
_cell_length_c 3.3329
_cell_angle_alpha 90.00
_cell_angle_beta 104.76
_cell_angle_gamma 90.00
_symmetry_space_group_name_H-M 'C 1 2/m 1'
_symmetry_Int_Tables_number 12
_symmetry_space_group_name_Hall '-C 2y'
loop_
_atom_site_label
_atom_site_type_symbol
_atom_site_fract_x
_atom_site_fract_y
_atom_site_fract_z
_atom_site_occupancy
Tl1 Tl 0.0000 0.0000 0.0000 1
Cd1 Cd 0.0000 0.5000 0.0000 1
Cd2 Cd 0.1253 0.2735 0.6258 1
In1 In 0.2438 0.0000 0.7483 1

6.
# CrInFe2, optimized geometry, DFT PBE-GGA
# * electronic total energy: -27.73 eV/cell
# * energy of formation from the pure elements: 0.390 eV/atom
# * total magnetic moment: 6.4 μB/f.u.
# * D(E_F): 4.59 states/eV per cell
data_CrInFe2
_chemical_formula_sum 'Cr1 In1 Fe2'
_cell_length_a 3.4058
_cell_length_b 4.0723
_cell_length_c 4.0738
_cell_angle_alpha 90.00
_cell_angle_beta 90.00
_cell_angle_gamma 90.00
_symmetry_space_group_name_H-M 'P m m m'
_symmetry_Int_Tables_number 47
_symmetry_space_group_name_Hall '-P 2 2'
loop_
_atom_site_label
_atom_site_type_symbol
_atom_site_fract_x
_atom_site_fract_y
_atom_site_fract_z
_atom_site_occupancy
Cr1 Cr 0.0000 0.0000 0.0000 1
In1 In 0.5000 0.0000 0.5000 1
Fe1 Fe 0.0000 0.5000 0.5000 1
Fe2 Fe 0.5000 0.5000 0.0000 1